No. 1
CuHg2P GGA-PBE optimized geometry; energy of formation = 0.28 eV per atom; N(E_F) = 1.527 states/eV per cell; symmetry = Imm2 (44)
1.0
-1.418 2.402 5.891
1.418 -2.402 5.891
1.418 2.402 -5.891
Cu Hg P
1 2 1
direct
0.000 0.000 0.000 Cu
0.463 0.463 0.000 Hg
0.776 0.276 0.500 Hg
0.159 0.659 0.500 P



No. 2
CuHg2P GGA-PBE optimized geometry; energy of formation = 0.42 eV per atom; N(E_F) = 1.236 states/eV per cell; symmetry = C2/m (12)
1.0
2.825 -3.564 0.000
2.825 3.564 0.000
-2.710 0.000 4.127
Cu Hg P
1 2 1
direct
0.000 0.000 0.000 Cu
0.000 0.500 0.500 Hg
0.500 0.000 0.500 Hg
0.500 0.500 0.000 P



| no. | magnetization (Bohr magnetons per cell) |
| --- | --- |
| 1 | 0.00 |
| 2 | 0.00 |